No. 1
Entry from the Alexandria database: a relaxed structure of Na2SbHPb (PBE).

Results
SG: P4/mmm, No. 123

```
5
Lattice="4.769 0.000 0.000 0.000 4.769 0.000 0.000 0.000 4.954" Properties=species:S:1:pos:R:3 pbc="T T T"
Na 0.000 2.384 0.000
Na 2.384 0.000 0.000
Sb 0.000 0.000 2.477
H 2.384 2.384 0.000
Pb 2.384 2.384 2.477
```

=====

No. 2
Entry from the Alexandria database: a relaxed structure of Na2SbHPb (PBE).

Results
SG: P4/mmm, No. 123

```
5
Lattice="4.853 0.000 0.000 0.000 4.853 0.000 0.000 0.000 4.714" Properties=species:S:1:pos:R:3 pbc="T T T"
Na 0.000 2.427 0.000
Na 2.427 0.000 0.000
Sb 0.000 0.000 2.357
H 0.000 0.000 0.000
Pb 2.427 2.427 2.357
```

=====

No. 3
Entry from the Alexandria database: a relaxed structure of NaHPbSe2 (PBE).

Results
SG: P4/mmm, No. 123

```
5
Lattice="5.176 0.000 0.000 0.000 5.176 0.000 0.000 0.000 5.524" Properties=species:S:1:pos:R:3 pbc="T T T"
Na 0.000 0.000 0.000
H 2.588 2.588 2.762
Pb 0.000 0.000 2.762
Se 0.000 2.588 0.000
Se 2.588 0.000 0.000
```

=====

No. 4
Entry from the Alexandria database: a relaxed structure of NaSrHPb2 (PBE).

Results
SG: P4/mmm, No. 123

```
5
Lattice="5.099 0.000 0.000 0.000 5.099 0.000 0.000 0.000 4.961" Properties=species:S:1:pos:R:3 pbc="T T T"
Na 0.000 0.000 0.000
Sr 2.549 2.549 0.000
H 2.549 2.549 2.481
Pb 0.000 2.549 2.481
Pb 2.549 0.000 2.481
```

=====

No. 5
Entry from the Alexandria database: a relaxed structure of NaSr2HPb (PBE).

Results
SG: P4/mmm, No. 123

```
5
Lattice="5.407 0.000 0.000 0.000 5.407 0.000 0.000 0.000 4.761" Properties=species:S:1:pos:R:3 pbc="T T T"
Na 0.000 0.000 0.000
Sr 0.000 2.704 2.381
Sr 2.704 0.000 2.381
H 0.000 0.000 2.381
Pb 2.704 2.704 0.000
```

=====

No. 6
Entry from the Alexandria database: a relaxed structure of Na2TeHPb (PBE).

Results
SG: P4/mmm, No. 123

```
5
Lattice="4.980 0.000 0.000 0.000 4.980 0.000 0.000 0.000 4.784" Properties=species:S:1:pos:R:3 pbc="T T T"
Na 0.000 2.490 0.000
Na 2.490 0.000 0.000
Te 0.000 0.000 2.392
H 2.490 2.490 0.000
Pb 2.490 2.490 2.392
```

=====

Number 1: calculated total energy -14.81 eV for the cell shown. Number 2: calculated total energy -14.36 eV for the cell shown. Number 3: calculated total energy -11.52 eV for the cell shown. Number 4: calculated total energy -14.54 eV for the cell shown. Number 5: calculated total energy -13.82 eV for the cell shown. Number 6: calculated total energy -14.32 eV for the cell shown.